(1)
{
  "formula": "PmPr2PuP4",
  "functional": "PBE",
  "state": "relaxed",
  "dos_ef_per_ev_atom": 1.5959,
  "total_energy_ev_per_cell": -61.6,
  "spacegroup": "P2/m",
  "density_g_cm3": 6.62,
  "lattice_angstrom": [[7.1481, 0.0000, 0.0000], [0.0000, 4.1381, 0.0000], [-2.3835, 0.0000, 6.7434]],
  "species": ["Pm", "Pr", "Pr", "Pu", "P", "P", "P", "P"],
  "fractional_positions": [[0.0000, 0.0000, 0.0000], [0.0000, 0.5000, 0.5000], [0.5000, 0.0000, 0.5000], [0.5000, 0.5000, 0.0000], [0.2531, 0.5000, 0.2411], [0.2605, 0.0000, 0.7635], [0.7395, 0.0000, 0.2365], [0.7469, 0.5000, 0.7589]]
}

=====

(2)
{
  "formula": "CaY2Mo",
  "functional": "PBE",
  "state": "relaxed",
  "dos_ef_per_ev_atom": 0.1762,
  "spacegroup": "I4_1/amd",
  "polymorph_energy_mev_per_atom": 874.6,
  "density_g_cm3": 2.85,
  "lattice_angstrom": [[-3.8993, 3.8993, 6.0173], [3.8993, -3.8993, 6.0173], [3.8993, 3.8993, -6.0173]],
  "species": ["Ca", "Ca", "Y", "Y", "Y", "Y", "Mo", "Mo"],
  "fractional_positions": [[0.3750, 0.6250, 0.7500], [0.6250, 0.3750, 0.2500], [0.0000, 0.0000, 0.0000], [0.0000, 0.0000, 0.5000], [0.0000, 0.5000, 0.0000], [0.5000, 0.0000, 0.5000], [0.1250, 0.8750, 0.2500], [0.8750, 0.1250, 0.7500]]
}

=====

(3)
{
  "formula": "FeTe",
  "functional": "PBE",
  "state": "relaxed",
  "dos_ef_per_ev_atom": 0.9616,
  "total_energy_ev_per_cell": -22.4,
  "spacegroup": "Imma",
  "density_g_cm3": 6.93,
  "lattice_angstrom": [[-1.7061, 1.9296, 6.6784], [1.7061, -1.9296, 6.6784], [1.7061, 1.9296, -6.6784]],
  "species": ["Fe", "Fe", "Te", "Te"],
  "fractional_positions": [[0.3008, 0.0508, 0.2500], [0.6992, 0.9492, 0.7500], [0.1275, 0.3775, 0.7500], [0.8725, 0.6225, 0.2500]]
}

=====

(4)
{
  "formula": "CeZnS",
  "functional": "PBE",
  "state": "relaxed",
  "dos_ef_per_ev_atom": 1.9113,
  "total_energy_ev_per_cell": -29.4,
  "spacegroup": "P4/nmm",
  "density_g_cm3": 5.95,
  "lattice_angstrom": [[3.9593, 0.0000, 0.0000], [0.0000, 3.9593, 0.0000], [0.0000, 0.0000, 8.4568]],
  "species": ["Ce", "Ce", "Zn", "Zn", "S", "S"],
  "fractional_positions": [[0.2500, 0.2500, 0.1674], [0.7500, 0.7500, 0.8326], [0.2500, 0.2500, 0.5334], [0.7500, 0.7500, 0.4666], [0.2500, 0.2500, 0.8279], [0.7500, 0.7500, 0.1721]]
}

=====

(5)
{
  "formula": "CdAs3Pd",
  "functional": "PBE",
  "state": "relaxed",
  "dos_ef_per_ev_atom": 0.9526,
  "spacegroup": "Pm-3m",
  "polymorph_energy_mev_per_atom": 0.0,
  "density_g_cm3": 6.15,
  "lattice_angstrom": [[4.9290, 0.0000, 0.0000], [0.0000, 4.9290, 0.0000], [0.0000, 0.0000, 4.9290]],
  "species": ["Cd", "As", "As", "As", "Pd"],
  "fractional_positions": [[0.0000, 0.0000, 0.0000], [0.0000, 0.5000, 0.5000], [0.5000, 0.0000, 0.5000], [0.5000, 0.5000, 0.0000], [0.5000, 0.5000, 0.5000]]
}

=====

(6)
{
  "formula": "ScTeRhI2",
  "functional": "PBE",
  "state": "relaxed",
  "dos_ef_per_ev_atom": 0.2201,
  "spacegroup": "P4/mmm",
  "polymorph_energy_mev_per_atom": 140.4,
  "density_g_cm3": 4.87,
  "lattice_angstrom": [[5.6123, 0.0000, 0.0000], [0.0000, 5.6123, 0.0000], [0.0000, 0.0000, 5.7315]],
  "species": ["Sc", "Te", "Rh", "I", "I"],
  "fractional_positions": [[0.0000, 0.0000, 0.0000], [0.0000, 0.0000, 0.5000], [0.5000, 0.5000, 0.5000], [0.0000, 0.5000, 0.0000], [0.5000, 0.0000, 0.0000]]
}

=====

(7)
{
  "formula": "Ba2AcPm",
  "functional": "PBE",
  "state": "relaxed",
  "dos_ef_per_ev_atom": 1.7736,
  "total_energy_ev_per_cell": -11.5,
  "spacegroup": "R-3m",
  "density_g_cm3": 5.66,
  "lattice_angstrom": [[1.9629, 1.1333, 14.2262], [-1.9629, 1.1333, 14.2262], [0.0000, -2.2665, 14.2262]],
  "species": ["Ba", "Ba", "Ac", "Pm"],
  "fractional_positions": [[0.0850, 0.0850, 0.0850], [0.9150, 0.9150, 0.9150], [0.5000, 0.5000, 0.5000], [0.0000, 0.0000, 0.0000]]
}